An optimized crystal structure of Ho2UPaC4. Source: the Alexandria database, functional PBE.

Lattice parameters (Å, degrees): 6.102 3.607 6.236 90.00 109.86 90.00
Space group P2/m (No. 10)
One atom of each set of equivalent atoms:
Ho (0.000, 0.000, 0.000) x1
Ho (0.000, 0.500, 0.500) x1
U (0.500, 0.000, 0.500) x1
Pa (0.500, 0.500, 0.000) x1
C (0.277, 0.000, 0.749) x2
C (0.281, 0.500, 0.269) x2

Calculated values
Total energy   -8.710 eV per atom
Crystal system   monoclinic
Formation enthalpy at 0 K   -355.2 meV/atom